The following is a PBE calculation of a relaxed structure of Y2MnTc, from Alexandria.

The structure in extended XYZ format:
```
4
Lattice="-1.729 5.364 2.146 -4.460 4.014 0.603 -2.258 -0.271 4.231" Properties=species:S:1:pos:R:3 pbc="T T T"
Mn -4.418 5.031 3.418
Tc -1.968 1.928 1.797
Y -6.100 9.161 2.783
Y -6.370 6.918 5.221
```

Values from the calculation:
- DFT formation energy: 0.113 eV per atom


The following is a PBE calculation of a relaxed structure of Y2MnTc, from Alexandria.

The structure in extended XYZ format:
```
4
Lattice="7.811 0.005 0.003 6.831 3.789 0.003 6.831 1.770 3.350" Properties=species:S:1:pos:R:3 pbc="T T T"
Y 4.695 1.217 0.734
Y 0.654 0.170 0.102
Mn 9.994 2.590 1.562
Tc 16.866 4.370 2.636
```

Values from the calculation:
- DFT formation energy: 0.034 eV per atom